! Nb3TeW | the Alexandria database | GGA-PBE | relaxed; values from VASP
&SYSTEM
  ibrav = 0, nat = 5, ntyp = 3
/
ATOMIC_SPECIES
Nb 92.91 Nb.upf
Te 127.60 Te.upf
W 183.84 W.upf
CELL_PARAMETERS angstrom
4.9283 0.0000 0.0000
0.0000 4.9283 0.0000
0.0000 0.0000 4.9283
ATOMIC_POSITIONS crystal
Nb 0.0000 0.0000 0.5000
Nb 0.0000 0.5000 0.0000
Nb 0.5000 0.0000 0.0000
Te 0.5000 0.5000 0.5000
W 0.0000 0.0000 0.0000
! SG: Pm-3m

! NbTe2W | the Alexandria database | GGA-PBE | relaxed; values from VASP
&SYSTEM
  ibrav = 0, nat = 16, ntyp = 3
/
ATOMIC_SPECIES
Nb 92.91 Nb.upf
Te 127.60 Te.upf
W 183.84 W.upf
CELL_PARAMETERS angstrom
6.7582 0.0000 0.0000
0.0000 6.7582 0.0000
0.0000 0.0000 6.7582
ATOMIC_POSITIONS crystal
Nb 0.0000 0.0000 0.0000
Nb 0.0000 0.5000 0.5000
Nb 0.5000 0.0000 0.5000
Nb 0.5000 0.5000 0.0000
Te 0.2500 0.2500 0.2500
Te 0.2500 0.2500 0.7500
Te 0.2500 0.7500 0.2500
Te 0.2500 0.7500 0.7500
Te 0.7500 0.2500 0.2500
Te 0.7500 0.2500 0.7500
Te 0.7500 0.7500 0.2500
Te 0.7500 0.7500 0.7500
W 0.0000 0.0000 0.5000
W 0.0000 0.5000 0.0000
W 0.5000 0.0000 0.0000
W 0.5000 0.5000 0.5000
! SG: Fm-3m

! NbTeW2 | the Alexandria database | GGA-PBE | relaxed; values from VASP
&SYSTEM
  ibrav = 0, nat = 16, ntyp = 3
/
ATOMIC_SPECIES
Nb 92.91 Nb.upf
Te 127.60 Te.upf
W 183.84 W.upf
CELL_PARAMETERS angstrom
3.9054 0.0000 0.0000
0.0000 3.9054 0.0000
0.0000 0.0000 20.3540
ATOMIC_POSITIONS crystal
Nb 0.0000 0.0000 0.0000
Nb 0.0000 0.5000 0.2500
Nb 0.5000 0.0000 0.7500
Nb 0.5000 0.5000 0.5000
Te 0.0000 0.0000 0.5000
Te 0.0000 0.5000 0.7500
Te 0.5000 0.0000 0.2500
Te 0.5000 0.5000 0.0000
W 0.2489 0.2500 0.6250
W 0.2500 0.7489 0.8750
W 0.2500 0.7511 0.3750
W 0.2511 0.2500 0.1250
W 0.7489 0.7500 0.1250
W 0.7500 0.2489 0.3750
W 0.7500 0.2511 0.8750
W 0.7511 0.7500 0.6250
! SG: I-42d

! NbTe2W | the Alexandria database | GGA-PBE | relaxed; values from VASP
&SYSTEM
  ibrav = 0, nat = 16, ntyp = 3
/
ATOMIC_SPECIES
Nb 92.91 Nb.upf
Te 127.60 Te.upf
W 183.84 W.upf
CELL_PARAMETERS angstrom
6.2601 0.0000 0.0000
0.0000 6.2601 0.0000
0.0000 0.0000 12.3868
ATOMIC_POSITIONS crystal
Nb 0.0000 0.0000 0.0000
Nb 0.0000 0.5000 0.2500
Nb 0.5000 0.0000 0.7500
Nb 0.5000 0.5000 0.5000
Te 0.2367 0.2500 0.6250
Te 0.2500 0.7367 0.8750
Te 0.2500 0.7633 0.3750
Te 0.2633 0.2500 0.1250
Te 0.7367 0.7500 0.1250
Te 0.7500 0.2367 0.3750
Te 0.7500 0.2633 0.8750
Te 0.7633 0.7500 0.6250
W 0.0000 0.0000 0.5000
W 0.0000 0.5000 0.7500
W 0.5000 0.0000 0.2500
W 0.5000 0.5000 0.0000
! SG: I-42d

! NbTe2W | the Alexandria database | GGA-PBE | relaxed; values from VASP
&SYSTEM
  ibrav = 0, nat = 12, ntyp = 3
/
ATOMIC_SPECIES
Nb 92.91 Nb.upf
Te 127.60 Te.upf
W 183.84 W.upf
CELL_PARAMETERS angstrom
3.3012 0.0000 0.0000
-1.6506 2.8589 0.0000
0.0000 0.0000 28.3712
ATOMIC_POSITIONS crystal
Nb 0.0000 0.0000 0.0000
Nb 0.3333 0.6667 0.6667
Nb 0.6667 0.3333 0.3333
Te 0.0000 0.0000 0.0975
Te 0.0000 0.0000 0.9025
Te 0.3333 0.6667 0.5692
Te 0.3333 0.6667 0.7642
Te 0.6667 0.3333 0.2358
Te 0.6667 0.3333 0.4308
W 0.0000 0.0000 0.5000
W 0.3333 0.6667 0.1667
W 0.6667 0.3333 0.8333
! SG: R-3m

! NbTe4W | the Alexandria database | GGA-PBE | relaxed; values from VASP
&SYSTEM
  ibrav = 0, nat = 12, ntyp = 3
/
ATOMIC_SPECIES
Nb 92.91 Nb.upf
Te 127.60 Te.upf
W 183.84 W.upf
CELL_PARAMETERS angstrom
15.7744 0.0000 0.0000
0.0000 3.3794 0.0000
-1.4564 0.0000 6.4060
ATOMIC_POSITIONS crystal
Nb 0.0000 0.0000 0.0000
Nb 0.5000 0.5000 0.0000
Te 0.0931 0.0000 0.4410
Te 0.1353 0.5000 0.9509
Te 0.3564 0.5000 0.6648
Te 0.3928 0.0000 0.2012
Te 0.5931 0.5000 0.4410
Te 0.6353 0.0000 0.9509
Te 0.8564 0.0000 0.6648
Te 0.8928 0.5000 0.2012
W 0.4894 0.0000 0.6318
W 0.9894 0.5000 0.6318
! SG: Cm

! NbTeW3 | the Alexandria database | GGA-PBE | relaxed; values from VASP
&SYSTEM
  ibrav = 0, nat = 5, ntyp = 3
/
ATOMIC_SPECIES
Nb 92.91 Nb.upf
Te 127.60 Te.upf
W 183.84 W.upf
CELL_PARAMETERS angstrom
4.8153 0.0000 0.0000
0.0000 4.8153 0.0000
0.0000 0.0000 4.8153
ATOMIC_POSITIONS crystal
Nb 0.0000 0.0000 0.0000
Te 0.5000 0.5000 0.5000
W 0.0000 0.5000 0.5000
W 0.5000 0.0000 0.5000
W 0.5000 0.5000 0.0000
! SG: Pm-3m

! Nb2TeW | the Alexandria database | GGA-PBE | relaxed; values from VASP
&SYSTEM
  ibrav = 0, nat = 16, ntyp = 3
/
ATOMIC_SPECIES
Nb 92.91 Nb.upf
Te 127.60 Te.upf
W 183.84 W.upf
CELL_PARAMETERS angstrom
4.0694 0.0000 0.0000
0.0000 4.0694 0.0000
0.0000 0.0000 19.4126
ATOMIC_POSITIONS crystal
Nb 0.2432 0.2500 0.1250
Nb 0.2500 0.7432 0.3750
Nb 0.2500 0.7568 0.8750
Nb 0.2568 0.2500 0.6250
Nb 0.7432 0.7500 0.6250
Nb 0.7500 0.2432 0.8750
Nb 0.7500 0.2568 0.3750
Nb 0.7568 0.7500 0.1250
Te 0.0000 0.0000 0.0000
Te 0.0000 0.5000 0.2500
Te 0.5000 0.0000 0.7500
Te 0.5000 0.5000 0.5000
W 0.0000 0.0000 0.5000
W 0.0000 0.5000 0.7500
W 0.5000 0.0000 0.2500
W 0.5000 0.5000 0.0000
! SG: I-42d

! Y4NbTe2 | the Alexandria database | GGA-PBE | relaxed; values from VASP
&SYSTEM
  ibrav = 0, nat = 14, ntyp = 3
/
ATOMIC_SPECIES
Y 88.91 Y.upf
Nb 92.91 Nb.upf
Te 127.60 Te.upf
CELL_PARAMETERS angstrom
5.3026 0.0000 0.0000
0.0000 5.3026 0.0000
0.0000 0.0000 15.9476
ATOMIC_POSITIONS crystal
Y 0.0000 0.0000 0.1769
Y 0.0000 0.0000 0.8231
Y 0.0000 0.5000 0.0000
Y 0.0000 0.5000 0.5000
Y 0.5000 0.0000 0.0000
Y 0.5000 0.0000 0.5000
Y 0.5000 0.5000 0.3231
Y 0.5000 0.5000 0.6769
Nb 0.0000 0.0000 0.0000
Nb 0.5000 0.5000 0.5000
Te 0.0000 0.0000 0.3657
Te 0.0000 0.0000 0.6343
Te 0.5000 0.5000 0.1343
Te 0.5000 0.5000 0.8657
! SG: I4/mmm

! YNb2Te | the Alexandria database | GGA-PBE | relaxed; values from VASP
&SYSTEM
  ibrav = 0, nat = 16, ntyp = 3
/
ATOMIC_SPECIES
Y 88.91 Y.upf
Nb 92.91 Nb.upf
Te 127.60 Te.upf
CELL_PARAMETERS angstrom
4.1766 0.0000 0.0000
0.0000 4.1766 0.0000
0.0000 0.0000 21.2985
ATOMIC_POSITIONS crystal
Y 0.0000 0.0000 0.0000
Y 0.0000 0.5000 0.2500
Y 0.5000 0.0000 0.7500
Y 0.5000 0.5000 0.5000
Nb 0.2324 0.2500 0.6250
Nb 0.2500 0.7324 0.8750
Nb 0.2500 0.7676 0.3750
Nb 0.2676 0.2500 0.1250
Nb 0.7324 0.7500 0.1250
Nb 0.7500 0.2324 0.3750
Nb 0.7500 0.2676 0.8750
Nb 0.7676 0.7500 0.6250
Te 0.0000 0.0000 0.5000
Te 0.0000 0.5000 0.7500
Te 0.5000 0.0000 0.2500
Te 0.5000 0.5000 0.0000
! SG: I-42d

! YNb2Te2 | the Alexandria database | GGA-PBE | relaxed; values from VASP
&SYSTEM
  ibrav = 0, nat = 10, ntyp = 3
/
ATOMIC_SPECIES
Y 88.91 Y.upf
Nb 92.91 Nb.upf
Te 127.60 Te.upf
CELL_PARAMETERS angstrom
3.9727 0.0000 0.0000
0.0000 3.9727 0.0000
0.0000 0.0000 15.1824
ATOMIC_POSITIONS crystal
Y 0.0000 0.0000 0.0000
Y 0.5000 0.5000 0.5000
Nb 0.0000 0.5000 0.2500
Nb 0.0000 0.5000 0.7500
Nb 0.5000 0.0000 0.2500
Nb 0.5000 0.0000 0.7500
Te 0.0000 0.0000 0.3886
Te 0.0000 0.0000 0.6114
Te 0.5000 0.5000 0.1114
Te 0.5000 0.5000 0.8886
! SG: I4/mmm

! YNb3Te | the Alexandria database | GGA-PBE | relaxed; values from VASP
&SYSTEM
  ibrav = 0, nat = 5, ntyp = 3
/
ATOMIC_SPECIES
Y 88.91 Y.upf
Nb 92.91 Nb.upf
Te 127.60 Te.upf
CELL_PARAMETERS angstrom
5.0749 0.0000 0.0000
0.0000 5.0749 0.0000
0.0000 0.0000 5.0749
ATOMIC_POSITIONS crystal
Y 0.0000 0.0000 0.0000
Nb 0.0000 0.5000 0.5000
Nb 0.5000 0.0000 0.5000
Nb 0.5000 0.5000 0.0000
Te 0.5000 0.5000 0.5000
! SG: Pm-3m

The records above give, respectively, E_form (uncorrected) values of 1178 358 910 970 547 -267 2418 759 -88 170 -382 908 meV/atom.